First-principles (meta-GGA SCAN) data for SbRu2Au at its PBEsol-relaxed geometry, as listed in the Alexandria database.

Calculated values
* raw total energy: -43.750 eV per atom
* total magnetic moment: 0.00 μB per atom
* symmetry: P4/mmm, No. 123

Unit cell a=3.139 b=3.139 c=6.440 alpha=90.00 beta=90.00 gamma=90.00
Atoms (fractional coordinates):
1 Sb 0.000 0.000 0.000
2 Ru 0.500 0.500 0.230
3 Ru 0.500 0.500 0.770
4 Au 0.000 0.000 0.500